The following is a DFT calculation (PBE) of a geometry-optimized RbBa2Re structure.

Cell lengths 9.0408, 9.0408, 9.0408 Å; angles 120.09, 120.09, 89.84 degrees
Closest atoms and distances in Å follow each position.
Sites, in units of the cell vectors:
1 Rb 0.0000 0.0000 0.0000  12 Ba 5.28-5.31, 4 Rb 5.53, 4 Re 5.53
2 Rb 0.7500 0.2500 0.5000  12 Ba 5.28-5.31, 4 Re 5.53, 4 Rb 5.53
3 Ba 0.3737 0.6250 0.2487  2 Re 2.77
4 Ba 0.3750 0.6237 0.7487  2 Re 2.77
5 Ba 0.3763 0.1250 0.7513  2 Re 2.77
6 Ba 0.8750 0.6263 0.2513  2 Re 2.77
7 Re 0.2500 0.7500 0.5000  4 Ba 2.77
8 Re 0.5000 0.5000 0.0000  4 Ba 2.77

ΔH_f (0 K), meV per atom: 1101
Energy above the lowest structure with this stoichiometry, meV per atom: 0
E, eV per formula unit: -12.9
V, Å³ per atom: 65.2
Crystal system: tetragonal


The following is a DFT calculation (PBE) of a geometry-optimized RbBa2Re structure.

Cell lengths 5.9697, 5.9697, 5.9697 Å; angles 60.00, 60.00, 60.00 degrees
Closest atoms and distances in Å follow each position.
Sites, in units of the cell vectors:
1 Rb 0.0000 0.0000 0.0000  8 Ba 3.66
2 Ba 0.2500 0.2500 0.2500  4 Re 3.66, 4 Rb 3.66
3 Ba 0.7500 0.7500 0.7500  4 Re 3.66, 4 Rb 3.66
4 Re 0.5000 0.5000 0.5000  8 Ba 3.66

ΔH_f (0 K), meV per atom: 1162
Energy above the lowest structure with this stoichiometry, meV per atom: 61
E, eV per formula unit: -12.6
V, Å³ per atom: 37.6
Crystal system: cubic


The following is a DFT calculation (PBE) of a geometry-optimized Rb2BaReS4 structure.

Cell lengths 7.1414, 7.1414, 7.1414 Å; angles 114.88, 114.88, 99.12 degrees
Closest atoms and distances in Å follow each position.
Sites, in units of the cell vectors:
1 Rb 0.0000 0.0000 0.0000  4 S 3.23
2 Rb 0.7500 0.2500 0.5000  4 S 3.44
3 Ba 0.5000 0.5000 0.0000  4 S 3.06
4 Re 0.2500 0.7500 0.5000  4 S 2.28
5 S 0.1572 0.0452 0.5178  1 Re 2.28
6 S 0.3606 0.8428 0.8880  1 Re 2.28
7 S 0.5274 0.6394 0.4822  1 Re 2.28
8 S 0.9548 0.4726 0.1120  1 Re 2.28

E, eV per formula unit: -39.7
V, Å³ per atom: 34.2
Crystal system: tetragonal
Uncorrected formation energy, eV per atom: -0.864


The following is a DFT calculation (PBE) of a geometry-optimized RbBa2Rh structure.

Cell lengths 3.9669, 3.9669, 11.9777 Å; angles 90.00, 90.00, 90.00 degrees
Closest atoms and distances in Å follow each position.
Sites, in units of the cell vectors:
1 Rb 0.0000 0.0000 0.0000  4 Rb 3.97
2 Ba 0.5000 0.5000 0.3520  4 Rh 3.32, 1 Ba 3.55
3 Ba 0.5000 0.5000 0.6480  4 Rh 3.32, 1 Ba 3.55
4 Rh 0.0000 0.0000 0.5000  8 Ba 3.32

ΔH_f (0 K), meV per atom: -10
Energy above the lowest structure with this stoichiometry, meV per atom: 91
E, eV per formula unit: -12.2
V, Å³ per atom: 47.1
Crystal system: tetragonal


Look up the V of the second one.
37.6 Å³ per atom


Number 3 is which compound?
Rb2BaReS4